[1]
First-principles (GGA-PBE) data for a relaxed structure of K2TiF4, as listed in Alexandria.

```
K2TiF4
1.0
4.193 0.000 0.000
0.000 4.193 0.000
0.000 0.000 13.486
K Ti F
4 2 8
Direct
0.000 0.000 0.147 K
0.000 0.000 0.853 K
0.500 0.500 0.353 K
0.500 0.500 0.647 K
0.000 0.000 0.500 Ti
0.500 0.500 0.000 Ti
0.000 0.000 0.342 F
0.000 0.000 0.658 F
0.000 0.500 0.000 F
0.000 0.500 0.500 F
0.500 0.000 0.000 F
0.500 0.000 0.500 F
0.500 0.500 0.158 F
0.500 0.500 0.842 F
```

Computed properties:
Uncorrected formation energy: -2.78 eV/atom
Calculated density: 2.83 g/cm³
Electronic total energy: -5.2881 eV per atom

[2]
First-principles (GGA-PBE) data for a relaxed structure of K6TiF12, as listed in Alexandria.

```
K6TiF12
1.0
5.553 3.206 3.512
-5.553 3.206 3.512
0.000 -6.413 3.512
K Ti F
6 1 12
Direct
0.156 0.274 0.608 K
0.274 0.608 0.156 K
0.392 0.844 0.726 K
0.608 0.156 0.274 K
0.726 0.392 0.844 K
0.844 0.726 0.392 K
0.000 0.000 0.000 Ti
0.011 0.946 0.739 F
0.054 0.261 0.989 F
0.147 0.582 0.469 F
0.261 0.989 0.054 F
0.418 0.531 0.853 F
0.469 0.147 0.582 F
0.531 0.853 0.418 F
0.582 0.469 0.147 F
0.739 0.011 0.946 F
0.853 0.418 0.531 F
0.946 0.739 0.011 F
0.989 0.054 0.261 F
```

Computed properties:
Uncorrected formation energy: -2.70 eV/atom
Calculated density: 2.26 g/cm³
Electronic total energy: -4.6416 eV per atom

[3]
First-principles (GGA-PBE) data for a relaxed structure of K2TiF, as listed in Alexandria.

```
K2TiF
1.0
7.816 0.000 0.000
0.000 7.816 0.000
0.000 0.000 9.828
K Ti F
8 4 4
Direct
0.116 0.250 0.125 K
0.250 0.616 0.375 K
0.250 0.884 0.875 K
0.384 0.250 0.625 K
0.616 0.750 0.625 K
0.750 0.116 0.875 K
0.750 0.384 0.375 K
0.884 0.750 0.125 K
0.000 0.000 0.500 Ti
0.000 0.500 0.750 Ti
0.500 0.000 0.250 Ti
0.500 0.500 0.000 Ti
0.000 0.000 0.000 F
0.000 0.500 0.250 F
0.500 0.000 0.750 F
0.500 0.500 0.500 F
```

Computed properties:
Uncorrected formation energy: -0.38 eV/atom
Calculated density: 1.60 g/cm³
E above lowest polymorph: 0 meV per atom
Electronic total energy: -3.3742 eV per atom

[4]
First-principles (GGA-PBE) data for a relaxed structure of KTi3F, as listed in Alexandria.

```
KTi3F
1.0
4.640 0.000 0.000
0.000 4.640 0.000
0.000 0.000 4.640
K Ti F
1 3 1
Direct
0.000 0.000 0.000 K
0.000 0.000 0.500 Ti
0.000 0.500 0.000 Ti
0.500 0.000 0.000 Ti
0.500 0.500 0.500 F
```

Computed properties:
Uncorrected formation energy: 2.02 eV/atom
Calculated density: 3.35 g/cm³
E above lowest polymorph: 1689 meV per atom
Electronic total energy: -3.3115 eV per atom

[5]
First-principles (GGA-PBE) data for a relaxed structure of K2TiF8, as listed in Alexandria.

```
K2TiF8
1.0
5.449 -3.237 0.000
5.449 3.237 0.000
-3.401 0.000 5.509
K Ti F
2 1 8
Direct
0.244 0.244 0.219 K
0.756 0.756 0.781 K
0.500 0.500 0.000 Ti
0.077 0.077 0.543 F
0.211 0.622 0.096 F
0.331 0.331 0.683 F
0.378 0.789 0.904 F
0.622 0.211 0.096 F
0.669 0.669 0.317 F
0.789 0.378 0.904 F
0.923 0.923 0.457 F
```

Computed properties:
Uncorrected formation energy: -2.67 eV/atom
Calculated density: 2.38 g/cm³
Electronic total energy: -4.9458 eV per atom

[6]
First-principles (GGA-PBE) data for a relaxed structure of KTi3F9, as listed in Alexandria.

```
KTi3F9
1.0
7.732 0.000 0.000
-3.866 6.696 0.000
0.000 0.000 3.986
K Ti F
1 3 9
Direct
0.000 0.000 0.000 K
0.000 0.500 0.500 Ti
0.500 0.000 0.500 Ti
0.500 0.500 0.500 Ti
0.000 0.500 0.000 F
0.205 0.409 0.500 F
0.205 0.795 0.500 F
0.409 0.205 0.500 F
0.500 0.000 0.000 F
0.500 0.500 0.000 F
0.591 0.795 0.500 F
0.795 0.205 0.500 F
0.795 0.591 0.500 F
```

Computed properties:
Uncorrected formation energy: -3.16 eV/atom
Calculated density: 2.85 g/cm³
Electronic total energy: -6.3663 eV per atom

Please write out number 2 again, unchanged.
First-principles (GGA-PBE) data for a relaxed structure of K6TiF12, as listed in Alexandria.

```
K6TiF12
1.0
5.553 3.206 3.512
-5.553 3.206 3.512
0.000 -6.413 3.512
K Ti F
6 1 12
Direct
0.156 0.274 0.608 K
0.274 0.608 0.156 K
0.392 0.844 0.726 K
0.608 0.156 0.274 K
0.726 0.392 0.844 K
0.844 0.726 0.392 K
0.000 0.000 0.000 Ti
0.011 0.946 0.739 F
0.054 0.261 0.989 F
0.147 0.582 0.469 F
0.261 0.989 0.054 F
0.418 0.531 0.853 F
0.469 0.147 0.582 F
0.531 0.853 0.418 F
0.582 0.469 0.147 F
0.739 0.011 0.946 F
0.853 0.418 0.531 F
0.946 0.739 0.011 F
0.989 0.054 0.261 F
```

Computed properties:
Uncorrected formation energy: -2.70 eV/atom
Calculated density: 2.26 g/cm³
Electronic total energy: -4.6416 eV per atom

Q: What is the formula in the sixth record?
A: KTi3F9